[1]
# Np2Re2C3, relaxed, DFT PBE
data_Np2Re2C3
_symmetry_space_group_name_H-M 'P 1'
_symmetry_Int_Tables_number 1
_symmetry_space_group_name_Hall 'P 1'
_cell_length_a 6.175
_cell_length_b 6.175
_cell_length_c 5.595
_cell_angle_alpha 113.19
_cell_angle_beta 113.19
_cell_angle_gamma 29.50
loop_
_atom_site_label
_atom_site_type_symbol
_atom_site_fract_x
_atom_site_fract_y
_atom_site_fract_z
_atom_site_occupancy
Np1 Np 0.103 0.103 0.301 1
Np2 Np 0.897 0.897 0.699 1
Re1 Re 0.346 0.346 0.170 1
Re2 Re 0.654 0.654 0.830 1
C1 C 0.250 0.250 0.748 1
C2 C 0.500 0.500 0.500 1
C3 C 0.750 0.750 0.252 1
# E	-78.70	eV for the cell shown
# V	95.95	Å³/cell

***

[2]
# Np2CSeS, relaxed, DFT PBE
data_Np2CSeS
_symmetry_space_group_name_H-M 'P 1'
_symmetry_Int_Tables_number 1
_symmetry_space_group_name_Hall 'P 1'
_cell_length_a 3.815
_cell_length_b 3.815
_cell_length_c 9.613
_cell_angle_alpha 90.00
_cell_angle_beta 90.00
_cell_angle_gamma 120.00
loop_
_atom_site_label
_atom_site_type_symbol
_atom_site_fract_x
_atom_site_fract_y
_atom_site_fract_z
_atom_site_occupancy
Np1 Np 0.000 0.000 0.000 1
Np2 Np 0.333 0.667 0.266 1
C1 C 0.667 0.333 0.128 1
Se1 Se 0.333 0.667 0.823 1
S1 S 0.000 0.000 0.417 1
# E	-45.30	eV for the cell shown
# V	121.17	Å³/cell

***

[3]
# Np2TeCSe, relaxed, DFT PBE
data_Np2TeCSe
_symmetry_space_group_name_H-M 'P 1'
_symmetry_Int_Tables_number 1
_symmetry_space_group_name_Hall 'P 1'
_cell_length_a 3.878
_cell_length_b 3.878
_cell_length_c 9.843
_cell_angle_alpha 90.00
_cell_angle_beta 90.00
_cell_angle_gamma 120.00
loop_
_atom_site_label
_atom_site_type_symbol
_atom_site_fract_x
_atom_site_fract_y
_atom_site_fract_z
_atom_site_occupancy
Np1 Np 0.000 0.000 0.000 1
Np2 Np 0.333 0.667 0.242 1
Te1 Te 0.000 0.000 0.448 1
C1 C 0.667 0.333 0.129 1
Se1 Se 0.333 0.667 0.832 1
# E	-43.14	eV for the cell shown
# V	128.23	Å³/cell

***

[4]
# Np2Tc2C3, relaxed, DFT PBE
data_Np2Tc2C3
_symmetry_space_group_name_H-M 'P 1'
_symmetry_Int_Tables_number 1
_symmetry_space_group_name_Hall 'P 1'
_cell_length_a 6.139
_cell_length_b 6.139
_cell_length_c 5.588
_cell_angle_alpha 113.14
_cell_angle_beta 113.14
_cell_angle_gamma 29.83
loop_
_atom_site_label
_atom_site_type_symbol
_atom_site_fract_x
_atom_site_fract_y
_atom_site_fract_z
_atom_site_occupancy
Np1 Np 0.102 0.102 0.304 1
Np2 Np 0.898 0.898 0.696 1
Tc1 Tc 0.344 0.344 0.170 1
Tc2 Tc 0.656 0.656 0.830 1
C1 C 0.251 0.251 0.750 1
C2 C 0.500 0.500 0.500 1
C3 C 0.749 0.749 0.250 1
# E	-74.66	eV for the cell shown
# V	95.72	Å³/cell

***

[5]
# NpUC, relaxed, DFT PBE
data_NpUC
_symmetry_space_group_name_H-M 'P 1'
_symmetry_Int_Tables_number 1
_symmetry_space_group_name_Hall 'P 1'
_cell_length_a 3.450
_cell_length_b 3.450
_cell_length_c 4.493
_cell_angle_alpha 90.00
_cell_angle_beta 90.00
_cell_angle_gamma 120.00
loop_
_atom_site_label
_atom_site_type_symbol
_atom_site_fract_x
_atom_site_fract_y
_atom_site_fract_z
_atom_site_occupancy
Np1 Np 0.000 0.000 0.000 1
U1 U 0.333 0.667 0.348 1
C1 C 0.667 0.333 0.684 1
# E	-34.00	eV for the cell shown
# V	46.33	Å³/cell

***

[6]
# ZrNpC2, relaxed, DFT PBE
data_ZrNpC2
_symmetry_space_group_name_H-M 'P 1'
_symmetry_Int_Tables_number 1
_symmetry_space_group_name_Hall 'P 1'
_cell_length_a 3.420
_cell_length_b 3.420
_cell_length_c 4.834
_cell_angle_alpha 90.00
_cell_angle_beta 90.00
_cell_angle_gamma 90.00
loop_
_atom_site_label
_atom_site_type_symbol
_atom_site_fract_x
_atom_site_fract_y
_atom_site_fract_z
_atom_site_occupancy
Zr1 Zr 0.000 0.000 0.000 1
Np1 Np 0.500 0.500 0.500 1
C1 C 0.000 0.000 0.500 1
C2 C 0.500 0.500 0.000 1
# E	-41.22	eV for the cell shown
# V	56.54	Å³/cell

***

[7]
# Os2PtC10O10, relaxed, DFT PBE
data_Os2PtC10O10
_symmetry_space_group_name_H-M 'P 1'
_symmetry_Int_Tables_number 1
_symmetry_space_group_name_Hall 'P 1'
_cell_length_a 6.799
_cell_length_b 8.736
_cell_length_c 12.498
_cell_angle_alpha 80.93
_cell_angle_beta 81.66
_cell_angle_gamma 74.91
loop_
_atom_site_label
_atom_site_type_symbol
_atom_site_fract_x
_atom_site_fract_y
_atom_site_fract_z
_atom_site_occupancy
Os1 Os 0.083 0.163 0.149 1
Os2 Os 0.128 0.616 0.697 1
Os3 Os 0.872 0.384 0.303 1
Os4 Os 0.917 0.837 0.851 1
Pt1 Pt 0.145 0.107 0.363 1
Pt2 Pt 0.855 0.893 0.637 1
C1 C 0.034 0.709 0.976 1
C2 C 0.099 0.489 0.277 1
C3 C 0.119 0.160 0.507 1
C4 C 0.132 0.953 0.814 1
C5 C 0.230 0.517 0.569 1
C6 C 0.256 0.986 0.084 1
C7 C 0.283 0.471 0.805 1
C8 C 0.312 0.263 0.138 1
C9 C 0.314 0.754 0.652 1
C10 C 0.340 0.908 0.351 1
C11 C 0.660 0.092 0.649 1
C12 C 0.686 0.246 0.348 1
C13 C 0.688 0.737 0.862 1
C14 C 0.717 0.529 0.195 1
C15 C 0.744 0.014 0.916 1
C16 C 0.770 0.483 0.431 1
C17 C 0.868 0.047 0.186 1
C18 C 0.881 0.840 0.493 1
C19 C 0.901 0.511 0.723 1
C20 C 0.966 0.291 0.024 1
O1 O 0.103 0.200 0.592 1
O2 O 0.106 0.627 0.050 1
O3 O 0.228 0.556 0.268 1
O4 O 0.252 0.029 0.798 1
O5 O 0.295 0.460 0.489 1
O6 O 0.357 0.879 0.042 1
O7 O 0.370 0.388 0.873 1
O8 O 0.426 0.834 0.616 1
O9 O 0.454 0.316 0.130 1
O10 O 0.460 0.788 0.344 1
O11 O 0.540 0.212 0.656 1
O12 O 0.546 0.684 0.870 1
O13 O 0.574 0.166 0.384 1
O14 O 0.630 0.612 0.127 1
O15 O 0.643 0.121 0.958 1
O16 O 0.705 0.540 0.511 1
O17 O 0.748 0.971 0.202 1
O18 O 0.772 0.444 0.732 1
O19 O 0.894 0.373 0.950 1
O20 O 0.897 0.800 0.408 1
# E	-368.52	eV for the cell shown
# V	703.57	Å³/cell

***

[8]
# Os3C10SO10, relaxed, DFT PBE
data_Os3C10SO10
_symmetry_space_group_name_H-M 'P 1'
_symmetry_Int_Tables_number 1
_symmetry_space_group_name_Hall 'P 1'
_cell_length_a 6.704
_cell_length_b 9.262
_cell_length_c 12.808
_cell_angle_alpha 82.76
_cell_angle_beta 87.99
_cell_angle_gamma 71.81
loop_
_atom_site_label
_atom_site_type_symbol
_atom_site_fract_x
_atom_site_fract_y
_atom_site_fract_z
_atom_site_occupancy
Os1 Os 0.144 0.321 0.338 1
Os2 Os 0.264 0.020 0.277 1
Os3 Os 0.334 0.264 0.136 1
Os4 Os 0.666 0.736 0.864 1
Os5 Os 0.736 0.980 0.723 1
Os6 Os 0.856 0.679 0.662 1
C1 C 0.044 0.233 0.204 1
C2 C 0.055 0.941 0.232 1
C3 C 0.151 0.581 0.653 1
C4 C 0.159 0.322 0.014 1
C5 C 0.167 0.252 0.484 1
C6 C 0.201 0.511 0.338 1
C7 C 0.258 0.921 0.416 1
C8 C 0.410 0.447 0.118 1
C9 C 0.437 0.856 0.940 1
C10 C 0.480 0.861 0.222 1
C11 C 0.520 0.139 0.778 1
C12 C 0.563 0.144 0.060 1
C13 C 0.590 0.553 0.882 1
C14 C 0.742 0.079 0.584 1
C15 C 0.799 0.489 0.662 1
C16 C 0.833 0.748 0.516 1
C17 C 0.841 0.678 0.986 1
C18 C 0.849 0.419 0.347 1
C19 C 0.945 0.059 0.768 1
C20 C 0.956 0.767 0.796 1
S1 S 0.496 0.166 0.305 1
S2 S 0.504 0.834 0.695 1
O1 O 0.046 0.353 0.942 1
O2 O 0.070 0.106 0.797 1
O3 O 0.128 0.739 0.835 1
O4 O 0.189 0.208 0.574 1
O5 O 0.235 0.626 0.340 1
O6 O 0.251 0.858 0.500 1
O7 O 0.297 0.929 0.986 1
O8 O 0.331 0.525 0.646 1
O9 O 0.388 0.237 0.810 1
O10 O 0.454 0.560 0.109 1
O11 O 0.546 0.440 0.891 1
O12 O 0.612 0.763 0.190 1
O13 O 0.669 0.475 0.354 1
O14 O 0.703 0.071 0.014 1
O15 O 0.749 0.142 0.500 1
O16 O 0.765 0.374 0.660 1
O17 O 0.811 0.792 0.426 1
O18 O 0.872 0.261 0.165 1
O19 O 0.930 0.894 0.203 1
O20 O 0.954 0.647 0.058 1
# E	-389.45	eV for the cell shown
# V	749.49	Å³/cell

***

[9]
# Os3C9S2O9, relaxed, DFT PBE
data_Os3C9S2O9
_symmetry_space_group_name_H-M 'P 1'
_symmetry_Int_Tables_number 1
_symmetry_space_group_name_Hall 'P 1'
_cell_length_a 6.540
_cell_length_b 9.273
_cell_length_c 13.243
_cell_angle_alpha 82.17
_cell_angle_beta 84.33
_cell_angle_gamma 69.72
loop_
_atom_site_label
_atom_site_type_symbol
_atom_site_fract_x
_atom_site_fract_y
_atom_site_fract_z
_atom_site_occupancy
Os1 Os 0.080 0.201 0.156 1
Os2 Os 0.172 0.263 0.346 1
Os3 Os 0.208 0.896 0.257 1
Os4 Os 0.792 0.104 0.743 1
Os5 Os 0.828 0.737 0.654 1
Os6 Os 0.920 0.799 0.844 1
C1 C 0.006 0.194 0.762 1
C2 C 0.065 0.564 0.612 1
C3 C 0.123 0.394 0.115 1
C4 C 0.193 0.098 0.038 1
C5 C 0.209 0.722 0.888 1
C6 C 0.259 0.178 0.479 1
C7 C 0.295 0.776 0.381 1
C8 C 0.362 0.382 0.322 1
C9 C 0.418 0.760 0.170 1
C10 C 0.582 0.240 0.830 1
C11 C 0.638 0.618 0.678 1
C12 C 0.705 0.224 0.619 1
C13 C 0.741 0.822 0.521 1
C14 C 0.791 0.278 0.112 1
C15 C 0.807 0.902 0.962 1
C16 C 0.877 0.606 0.885 1
C17 C 0.935 0.436 0.388 1
C18 C 0.994 0.806 0.238 1
S1 S 0.058 0.882 0.677 1
S2 S 0.417 0.068 0.247 1
S3 S 0.583 0.932 0.753 1
S4 S 0.942 0.118 0.323 1
O1 O 0.133 0.252 0.772 1
O2 O 0.146 0.512 0.088 1
O3 O 0.204 0.456 0.586 1
O4 O 0.264 0.035 0.965 1
O5 O 0.308 0.119 0.560 1
O6 O 0.338 0.710 0.462 1
O7 O 0.387 0.677 0.914 1
O8 O 0.456 0.320 0.884 1
O9 O 0.479 0.453 0.306 1
O10 O 0.521 0.547 0.694 1
O11 O 0.544 0.680 0.116 1
O12 O 0.613 0.323 0.086 1
O13 O 0.662 0.290 0.538 1
O14 O 0.692 0.881 0.440 1
O15 O 0.736 0.965 0.035 1
O16 O 0.796 0.544 0.414 1
O17 O 0.854 0.488 0.912 1
O18 O 0.867 0.748 0.228 1
# E	-368.98	eV for the cell shown
# V	745.21	Å³/cell

***

[10]
# TmPbC2O6, relaxed, DFT PBE
data_TmPbC2O6
_symmetry_space_group_name_H-M 'P 1'
_symmetry_Int_Tables_number 1
_symmetry_space_group_name_Hall 'P 1'
_cell_length_a 6.385
_cell_length_b 6.385
_cell_length_c 6.385
_cell_angle_alpha 48.10
_cell_angle_beta 48.10
_cell_angle_gamma 48.10
loop_
_atom_site_label
_atom_site_type_symbol
_atom_site_fract_x
_atom_site_fract_y
_atom_site_fract_z
_atom_site_occupancy
Tm1 Tm 0.000 0.000 0.000 1
Pb1 Pb 0.500 0.500 0.500 1
C1 C 0.265 0.265 0.265 1
C2 C 0.735 0.735 0.735 1
O1 O 0.043 0.533 0.205 1
O2 O 0.205 0.043 0.533 1
O3 O 0.467 0.795 0.957 1
O4 O 0.533 0.205 0.043 1
O5 O 0.795 0.957 0.467 1
O6 O 0.957 0.467 0.795 1
# E	-73.70	eV for the cell shown
# V	132.15	Å³/cell

***

[11]
# ZrPdCO, relaxed, DFT PBE
data_ZrPdCO
_symmetry_space_group_name_H-M 'P 1'
_symmetry_Int_Tables_number 1
_symmetry_space_group_name_Hall 'P 1'
_cell_length_a 10.353
_cell_length_b 10.353
_cell_length_c 10.353
_cell_angle_alpha 19.40
_cell_angle_beta 19.40
_cell_angle_gamma 19.40
loop_
_atom_site_label
_atom_site_type_symbol
_atom_site_fract_x
_atom_site_fract_y
_atom_site_fract_z
_atom_site_occupancy
Zr1 Zr 0.239 0.239 0.239 1
Zr2 Zr 0.761 0.761 0.761 1
Pd1 Pd 0.000 0.000 0.000 1
Pd2 Pd 0.500 0.500 0.500 1
C1 C 0.125 0.125 0.125 1
C2 C 0.875 0.875 0.875 1
O1 O 0.305 0.305 0.305 1
O2 O 0.695 0.695 0.695 1
# E	-59.70	eV for the cell shown
# V	107.05	Å³/cell

***

[12]
# Pr2C5O13, relaxed, DFT PBE
data_Pr2C5O13
_symmetry_space_group_name_H-M 'P 1'
_symmetry_Int_Tables_number 1
_symmetry_space_group_name_Hall 'P 1'
_cell_length_a 5.594
_cell_length_b 8.715
_cell_length_c 12.132
_cell_angle_alpha 72.44
_cell_angle_beta 77.01
_cell_angle_gamma 73.22
loop_
_atom_site_label
_atom_site_type_symbol
_atom_site_fract_x
_atom_site_fract_y
_atom_site_fract_z
_atom_site_occupancy
Pr1 Pr 0.117 0.176 0.207 1
Pr2 Pr 0.328 0.398 0.420 1
Pr3 Pr 0.672 0.602 0.580 1
Pr4 Pr 0.883 0.824 0.793 1
C1 C 0.076 0.809 0.351 1
C2 C 0.165 0.580 0.661 1
C3 C 0.220 0.367 0.932 1
C4 C 0.285 0.784 0.245 1
C5 C 0.443 0.991 0.450 1
C6 C 0.557 0.009 0.550 1
C7 C 0.715 0.216 0.755 1
C8 C 0.780 0.633 0.068 1
C9 C 0.835 0.420 0.339 1
C10 C 0.924 0.191 0.649 1
O1 O 0.035 0.679 0.428 1
O2 O 0.040 0.045 0.647 1
O3 O 0.055 0.436 0.284 1
O4 O 0.174 0.512 0.902 1
O5 O 0.248 0.223 0.974 1
O6 O 0.250 0.697 0.672 1
O7 O 0.268 0.834 0.865 1
O8 O 0.305 0.485 0.596 1
O9 O 0.327 0.916 0.172 1
O10 O 0.330 0.126 0.385 1
O11 O 0.396 0.638 0.239 1
O12 O 0.467 0.849 0.439 1
O13 O 0.488 0.722 0.855 1
O14 O 0.512 0.278 0.145 1
O15 O 0.533 0.151 0.561 1
O16 O 0.604 0.362 0.761 1
O17 O 0.670 0.874 0.615 1
O18 O 0.673 0.084 0.828 1
O19 O 0.695 0.515 0.404 1
O20 O 0.732 0.166 0.135 1
O21 O 0.750 0.303 0.328 1
O22 O 0.752 0.777 0.026 1
O23 O 0.826 0.488 0.098 1
O24 O 0.945 0.564 0.716 1
O25 O 0.960 0.955 0.353 1
O26 O 0.965 0.321 0.572 1
# E	-306.28	eV for the cell shown
# V	533.70	Å³/cell

***

[13]
# Pr3CO2, relaxed, DFT PBE
data_Pr3CO2
_symmetry_space_group_name_H-M 'P 1'
_symmetry_Int_Tables_number 1
_symmetry_space_group_name_Hall 'P 1'
_cell_length_a 3.696
_cell_length_b 3.696
_cell_length_c 8.917
_cell_angle_alpha 90.00
_cell_angle_beta 90.00
_cell_angle_gamma 120.00
loop_
_atom_site_label
_atom_site_type_symbol
_atom_site_fract_x
_atom_site_fract_y
_atom_site_fract_z
_atom_site_occupancy
Pr1 Pr 0.000 0.000 0.000 1
Pr2 Pr 0.333 0.667 0.661 1
Pr3 Pr 0.667 0.333 0.339 1
C1 C 0.000 0.000 0.500 1
O1 O 0.333 0.667 0.143 1
O2 O 0.667 0.333 0.857 1
# E	-44.71	eV for the cell shown
# V	105.50	Å³/cell

***

[14]
# Re2PtC12O12, relaxed, DFT PBE
data_Re2PtC12O12
_symmetry_space_group_name_H-M 'P 1'
_symmetry_Int_Tables_number 1
_symmetry_space_group_name_Hall 'P 1'
_cell_length_a 6.256
_cell_length_b 6.997
_cell_length_c 9.846
_cell_angle_alpha 71.80
_cell_angle_beta 86.48
_cell_angle_gamma 88.70
loop_
_atom_site_label
_atom_site_type_symbol
_atom_site_fract_x
_atom_site_fract_y
_atom_site_fract_z
_atom_site_occupancy
Re1 Re 0.215 0.116 0.226 1
Re2 Re 0.785 0.884 0.774 1
Pt1 Pt 0.000 0.000 0.500 1
C1 C 0.047 0.726 0.843 1
C2 C 0.085 0.878 0.194 1
C3 C 0.110 0.736 0.537 1
C4 C 0.324 0.341 0.289 1
C5 C 0.369 0.202 0.042 1
C6 C 0.456 0.942 0.319 1
C7 C 0.544 0.058 0.681 1
C8 C 0.631 0.798 0.958 1
C9 C 0.676 0.659 0.711 1
C10 C 0.890 0.264 0.463 1
C11 C 0.915 0.122 0.806 1
C12 C 0.953 0.274 0.157 1
O1 O 0.010 0.740 0.174 1
O2 O 0.178 0.574 0.562 1
O3 O 0.202 0.637 0.883 1
O4 O 0.385 0.469 0.327 1
O5 O 0.404 0.159 0.628 1
O6 O 0.465 0.250 0.931 1
O7 O 0.535 0.750 0.069 1
O8 O 0.596 0.841 0.372 1
O9 O 0.615 0.531 0.673 1
O10 O 0.798 0.363 0.117 1
O11 O 0.822 0.426 0.438 1
O12 O 0.990 0.260 0.826 1
# E	-218.43	eV for the cell shown
# V	408.64	Å³/cell

***

[15]
# Sm2CO, relaxed, DFT PBE
data_Sm2CO
_symmetry_space_group_name_H-M 'P 1'
_symmetry_Int_Tables_number 1
_symmetry_space_group_name_Hall 'P 1'
_cell_length_a 3.637
_cell_length_b 5.061
_cell_length_c 7.243
_cell_angle_alpha 90.00
_cell_angle_beta 90.00
_cell_angle_gamma 90.00
loop_
_atom_site_label
_atom_site_type_symbol
_atom_site_fract_x
_atom_site_fract_y
_atom_site_fract_z
_atom_site_occupancy
Sm1 Sm 0.250 0.250 0.122 1
Sm2 Sm 0.250 0.250 0.629 1
Sm3 Sm 0.750 0.750 0.371 1
Sm4 Sm 0.750 0.750 0.878 1
C1 C 0.250 0.750 0.138 1
C2 C 0.750 0.250 0.862 1
O1 O 0.250 0.750 0.622 1
O2 O 0.750 0.250 0.378 1
# E	-59.65	eV for the cell shown
# V	133.30	Å³/cell